<one>
Compound: BePIr2
Source: the Alexandria database
Functional: GGA-PBEsol
Structure: relaxed Values from VASP.

Summary:
- density (g/cm3) = 13.5
- space group = F-43m (216)
- volume (Å³/atom) = 13.08

The structure in Quantum ESPRESSO input format:
```
&SYSTEM
  ibrav = 0, nat = 4, ntyp = 3
/
ATOMIC_SPECIES
Be 9.01 Be.upf
Ir 192.22 Ir.upf
P 30.97 P.upf
CELL_PARAMETERS angstrom
-4.091 -0.804 -0.489
-1.310 -3.947 -0.572
-2.131 -1.965 3.037
ATOMIC_POSITIONS angstrom
Be -3.766 -3.358 0.988
Ir 0.000 0.000 0.000
Ir -1.883 -1.679 0.494
P -5.649 -5.037 1.482
```

<two>
Compound: BePIr2
Source: the Alexandria database
Functional: GGA-PBEsol
Structure: relaxed Values from VASP.

Summary:
- density (g/cm3) = 13.7
- space group = Imm2 (44)
- volume (Å³/atom) = 12.83

The structure in Quantum ESPRESSO input format:
```
&SYSTEM
  ibrav = 0, nat = 4, ntyp = 3
/
ATOMIC_SPECIES
Be 9.01 Be.upf
Ir 192.22 Ir.upf
P 30.97 P.upf
CELL_PARAMETERS angstrom
-2.328 1.394 -0.756
-0.179 -1.889 -2.931
-1.672 -3.301 4.310
ATOMIC_POSITIONS angstrom
Be -1.307 -2.421 -0.439
Ir -2.840 -1.335 1.035
Ir -0.252 -0.305 0.212
P -2.707 -3.283 2.282
```

<two> is preferred energetically. Next in line: 665 meV/atom higher.

<one>
Compound: Be2IrSe
Source: the Alexandria database
Functional: GGA-PBEsol
Structure: relaxed Values from VASP.

Summary:
- density (g/cm3) = 9.4
- space group = Pmm2 (25)
- volume (Å³/atom) = 12.72

The structure in Quantum ESPRESSO input format:
```
&SYSTEM
  ibrav = 0, nat = 4, ntyp = 3
/
ATOMIC_SPECIES
Be 9.01 Be.upf
Se 78.96 Se.upf
Ir 192.22 Ir.upf
CELL_PARAMETERS angstrom
-2.151 -1.834 -0.915
2.101 -1.955 -1.020
0.050 -2.558 5.006
ATOMIC_POSITIONS angstrom
Be 0.001 -0.061 0.120
Be -0.012 -2.533 0.282
Se 0.016 -3.980 3.114
Ir 0.021 -1.051 2.057
```

<two>
Compound: Be2IrSe
Source: the Alexandria database
Functional: GGA-PBEsol
Structure: relaxed Values from VASP.

Summary:
- density (g/cm3) = 9.9
- space group = Cmmm (65)
- volume (Å³/atom) = 12.15

The structure in Quantum ESPRESSO input format:
```
&SYSTEM
  ibrav = 0, nat = 4, ntyp = 3
/
ATOMIC_SPECIES
Se 78.96 Se.upf
Be 9.01 Be.upf
Ir 192.22 Ir.upf
CELL_PARAMETERS angstrom
-0.130 2.773 0.583
-1.021 -0.885 3.981
4.200 0.191 0.029
ATOMIC_POSITIONS angstrom
Se 1.524 1.040 2.297
Be -0.511 -0.443 1.991
Be 2.100 0.096 0.015
Ir -0.065 1.387 0.292
```

<one> is preferred energetically. Next in line: 60 meV/atom higher.

<one>
Compound: BeIrSe2
Source: the Alexandria database
Functional: GGA-PBEsol
Structure: relaxed Values from VASP.

Summary:
- density (g/cm3) = 9.5
- space group = R-3m (166)
- volume (Å³/atom) = 15.65

The structure in Quantum ESPRESSO input format:
```
&SYSTEM
  ibrav = 0, nat = 4, ntyp = 3
/
ATOMIC_SPECIES
Se 78.96 Se.upf
Ir 192.22 Ir.upf
Be 9.01 Be.upf
CELL_PARAMETERS angstrom
-1.175 -1.748 -2.267
1.868 -1.195 -2.158
1.198 -7.142 2.773
ATOMIC_POSITIONS angstrom
Se 0.896 -5.219 1.447
Se 0.994 -4.866 -3.100
Ir 0.000 0.000 0.000
Be 0.945 -5.043 -0.826
```

<two>
Compound: BeIrSe2
Source: the Alexandria database
Functional: GGA-PBEsol
Structure: relaxed Values from VASP.

Summary:
- density (g/cm3) = 9.3
- space group = I4/mmm (139)
- volume (Å³/atom) = 16.09

The structure in Quantum ESPRESSO input format:
```
&SYSTEM
  ibrav = 0, nat = 4, ntyp = 3
/
ATOMIC_SPECIES
Be 9.01 Be.upf
Ir 192.22 Ir.upf
Se 78.96 Se.upf
CELL_PARAMETERS angstrom
-2.001 -1.988 3.348
3.897 1.595 1.195
-2.310 3.435 -1.423
ATOMIC_POSITIONS angstrom
Be 0.000 0.000 0.000
Ir 0.794 2.515 -0.114
Se -2.156 0.724 0.962
Se 0.948 -0.196 2.271
```

<one> is preferred energetically. Next in line: 130 meV/atom higher.

<one>
Compound: BeSiIr2
Source: the Alexandria database
Functional: GGA-PBEsol
Structure: relaxed Values from VASP.

Summary:
- density (g/cm3) = 14.8
- space group = Fm-3m (225)
- volume (Å³/atom) = 11.79

The structure in Quantum ESPRESSO input format:
```
&SYSTEM
  ibrav = 0, nat = 4, ntyp = 3
/
ATOMIC_SPECIES
Si 28.09 Si.upf
Be 9.01 Be.upf
Ir 192.22 Ir.upf
CELL_PARAMETERS angstrom
-0.958 -3.780 1.115
1.174 -3.145 -2.276
2.887 -2.511 1.345
ATOMIC_POSITIONS angstrom
Si 1.551 -4.717 0.092
Be 0.000 0.000 0.000
Ir 0.776 -2.359 0.046
Ir 2.327 -7.076 0.138
```

<two>
Compound: BeSiIr2
Source: the Alexandria database
Functional: GGA-PBEsol
Structure: relaxed Values from VASP.

Summary:
- density (g/cm3) = 13.8
- space group = R3m (160)
- volume (Å³/atom) = 12.71

The structure in Quantum ESPRESSO input format:
```
&SYSTEM
  ibrav = 0, nat = 4, ntyp = 3
/
ATOMIC_SPECIES
Be 9.01 Be.upf
Ir 192.22 Ir.upf
Si 28.09 Si.upf
CELL_PARAMETERS angstrom
-0.436 -2.677 -0.383
1.897 -1.820 0.769
-2.833 -1.969 7.199
ATOMIC_POSITIONS angstrom
Be -0.336 -1.616 1.882
Ir -0.963 -4.841 5.549
Ir 1.363 -4.511 0.594
Si -0.662 -3.230 3.741
```

<one> is preferred energetically. Next in line: 538 meV/atom higher.

<one>
Compound: BeSiIr2
Source: the Alexandria database
Functional: GGA-PBEsol
Structure: relaxed Values from VASP.

Summary:
- density (g/cm3) = 14.1
- space group = C2/m (12)
- volume (Å³/atom) = 12.42

The structure in Quantum ESPRESSO input format:
```
&SYSTEM
  ibrav = 0, nat = 4, ntyp = 3
/
ATOMIC_SPECIES
Be 9.01 Be.upf
Ir 192.22 Ir.upf
Si 28.09 Si.upf
CELL_PARAMETERS angstrom
-1.153 1.043 2.300
-1.077 -3.912 -0.442
4.143 -0.473 2.291
ATOMIC_POSITIONS angstrom
Be 2.071 -0.236 1.146
Ir 1.684 -1.524 3.211
Ir 0.229 -1.818 0.939
Si -0.577 0.521 1.150
```

<two>
Compound: BeSiIr2
Source: the Alexandria database
Functional: GGA-PBEsol
Structure: relaxed Values from VASP.

Summary:
- density (g/cm3) = 14.8
- space group = P4/mmm (123)
- volume (Å³/atom) = 11.83

The structure in Quantum ESPRESSO input format:
```
&SYSTEM
  ibrav = 0, nat = 4, ntyp = 3
/
ATOMIC_SPECIES
Be 9.01 Be.upf
Ir 192.22 Ir.upf
Si 28.09 Si.upf
CELL_PARAMETERS angstrom
-1.356 1.898 -1.695
-2.545 -1.001 0.915
0.027 3.801 4.233
ATOMIC_POSITIONS angstrom
Be -1.937 2.349 1.727
Ir 0.007 0.965 1.075
Ir 0.020 2.835 3.158
Si -1.951 0.448 -0.390
```

<two> is preferred energetically. Next in line: 231 meV/atom higher.

<one>
Compound: Be2SiIr2
Source: the Alexandria database
Functional: GGA-PBEsol
Structure: relaxed Values from VASP.

Summary:
- density (g/cm3) = 12.1
- space group = P4/mbm (127)
- volume (Å³/atom) = 11.86

The structure in Quantum ESPRESSO input format:
```
&SYSTEM
  ibrav = 0, nat = 10, ntyp = 3
/
ATOMIC_SPECIES
Be 9.01 Be.upf
Si 28.09 Si.upf
Ir 192.22 Ir.upf
CELL_PARAMETERS angstrom
2.880 0.000 0.000
0.000 6.417 0.000
0.000 0.000 6.417
ATOMIC_POSITIONS angstrom
Be 1.440 5.571 2.363
Be 1.440 2.363 0.846
Be 1.440 0.846 4.054
Be 1.440 4.054 5.571
Si 0.000 0.000 0.000
Si 0.000 3.208 3.208
Ir 0.000 1.041 2.168
Ir 0.000 2.168 5.376
Ir 0.000 4.249 1.041
Ir 0.000 5.376 4.249
```

<two>
Compound: Be2SiIr2
Source: the Alexandria database
Functional: GGA-PBEsol
Structure: relaxed Values from VASP.

Summary:
- density (g/cm3) = 12.8
- space group = P4/mbm (127)
- volume (Å³/atom) = 11.14

The structure in Quantum ESPRESSO input format:
```
&SYSTEM
  ibrav = 0, nat = 10, ntyp = 3
/
ATOMIC_SPECIES
Ir 192.22 Ir.upf
Be 9.01 Be.upf
Si 28.09 Si.upf
CELL_PARAMETERS angstrom
2.729 0.000 0.000
0.000 6.388 0.000
0.000 0.000 6.388
ATOMIC_POSITIONS angstrom
Ir 1.365 1.153 4.347
Ir 1.365 4.347 5.236
Ir 1.365 2.042 1.153
Ir 1.365 5.236 2.042
Be 0.000 0.739 2.455
Be 0.000 5.649 3.934
Be 0.000 3.934 0.739
Be 0.000 2.455 5.649
Si 0.000 0.000 0.000
Si 0.000 3.194 3.194
```

<one> is preferred energetically. Next in line: 44 meV/atom higher.